[1]
The following is a DFT calculation (PBE) of crystalline GdCuSnS3 at its relaxed geometry.

ΔE to the lowest computed polymorph = 64.6 meV per atom
Size of the total moment = 0.0 μB/f.u.
Calculated volume = 132.2 Å³/f.u.
Density = 5.47 g/cm3
Space group = C2/m (12)

Geometry as CIF:
```
data_GdCuSnS3
_space_group_name_H-M_alt 'P 1'
_space_group_IT_number 1
_cell_length_a 9.057
_cell_length_b 9.057
_cell_length_c 7.869
_cell_angle_alpha 103.38
_cell_angle_beta 103.38
_cell_angle_gamma 24.94
loop_
_space_group_symop_operation_xyz
'x,y,z'
loop_
_atom_site_label
_atom_site_fract_x
_atom_site_fract_y
_atom_site_fract_z
Gd1 0.162 0.162 0.082
Gd2 0.838 0.838 0.918
Cu1 0.463 0.463 0.795
Cu2 0.537 0.537 0.205
Sn1 0.122 0.122 0.564
Sn2 0.878 0.878 0.436
S1 0.000 0.000 0.000
S2 0.324 0.324 0.155
S3 0.330 0.330 0.674
S4 0.500 0.500 0.500
S5 0.670 0.670 0.326
S6 0.676 0.676 0.845
```



[2]
The following is a DFT calculation (PBE) of crystalline PmGaFe at its relaxed geometry.

ΔE to the lowest computed polymorph = 0.0 meV per atom
Size of the total moment = 1.3 μB/f.u.
Calculated volume = 63.1 Å³/f.u.
Density = 7.12 g/cm3
Space group = F-43m (216)

Geometry as CIF:
```
data_PmGaFe
_space_group_name_H-M_alt 'P 1'
_space_group_IT_number 1
_cell_length_a 6.319
_cell_length_b 6.319
_cell_length_c 6.319
_cell_angle_alpha 90.00
_cell_angle_beta 90.00
_cell_angle_gamma 90.00
loop_
_space_group_symop_operation_xyz
'x,y,z'
loop_
_atom_site_label
_atom_site_fract_x
_atom_site_fract_y
_atom_site_fract_z
Pm1 0.000 0.000 0.000
Pm2 0.000 0.500 0.500
Pm3 0.500 0.000 0.500
Pm4 0.500 0.500 0.000
Ga1 0.000 0.000 0.500
Ga2 0.000 0.500 0.000
Ga3 0.500 0.000 0.000
Ga4 0.500 0.500 0.500
Fe1 0.250 0.250 0.750
Fe2 0.250 0.750 0.250
Fe3 0.750 0.250 0.250
Fe4 0.750 0.750 0.750
```



no.,DFT total energy (eV per atom)
1,-5.105
2,-5.252